First-principles (PBE+U) data for Zr2CoSnO after structural relaxation, as listed in the Alexandria database.

Cell and atoms, written as CIF:
```
data_Zr2CoSnO
_cell_length_a 4.525
_cell_length_b 4.525
_cell_length_c 4.160
_cell_angle_alpha 90.00
_cell_angle_beta 90.00
_cell_angle_gamma 90.00
_symmetry_space_group_name_H-M 'P 4/m m m'
_symmetry_Int_Tables_number 123
_symmetry_space_group_name_Hall '-P 4 2'
loop_
_atom_site_label
_atom_site_fract_x
_atom_site_fract_y
_atom_site_fract_z
Zr1 0.000 0.500 0.000
Co1 0.000 0.000 0.500
Sn1 0.500 0.500 0.500
O1 0.000 0.000 0.000
```

Values from the calculation:
The final energy comes out at -7.18 eV per atom. The value obtained for the calculated volume is 17.04 Å³ per atom.